[1]
This record from the Alexandria database describes NaHg2MoO6 after structural relaxation. The functional is PBE+U.

Results
**Energy**: -95.000 eV for the cell shown
**DOS(E_F)**: 0.61 states/eV per atom

Structure (CIF):
```
data_NaHg2MoO6
_chemical_formula_sum 'Na2 Hg4 Mo2 O12'
_space_group_name_H-M_alt 'P 1 21/c 1'
_space_group_IT_number 14
_space_group_name_Hall '-P 2ybc'
_cell_length_a 5.655
_cell_length_b 5.777
_cell_length_c 10.290
_cell_angle_alpha 90.00
_cell_angle_beta 122.96
_cell_angle_gamma 90.00
loop_
_atom_site_label
_atom_site_fract_x
_atom_site_fract_y
_atom_site_fract_z
Na1 0.000 0.000 0.000
Hg1 0.236 0.030 0.750
Mo1 0.500 0.000 0.500
O1 0.189 0.730 0.875
O2 0.230 0.211 0.474
O3 0.458 0.120 0.305
```



[2]
This record from the Alexandria database describes NaHgMoO4 after structural relaxation. The functional is PBE+U.

Results
**Energy**: -151.780 eV for the cell shown
**DOS(E_F)**: 0.12 states/eV per atom

Structure (CIF):
```
data_NaHgMoO4
_chemical_formula_sum 'Na4 Hg4 Mo4 O16'
_space_group_name_H-M_alt 'I m m a'
_space_group_IT_number 74
_space_group_name_Hall '-I 2b 2'
_cell_length_a 6.259
_cell_length_b 7.525
_cell_length_c 9.519
_cell_angle_alpha 90.00
_cell_angle_beta 90.00
_cell_angle_gamma 90.00
loop_
_atom_site_label
_atom_site_fract_x
_atom_site_fract_y
_atom_site_fract_z
Na1 0.000 0.000 0.000
Hg1 0.250 0.250 0.250
Mo1 0.000 0.250 0.622
O1 0.000 0.057 0.732
O2 0.238 0.250 0.511
```